Here is Pr3Au after structural relaxation from the Alexandria database. Energies are from PBE.

Cell and atoms, written as POSCAR:
```
Pr3Au
1.0
-6.2115 6.2115 3.2249
6.2115 -6.2115 3.2249
6.2115 6.2115 -3.2249
Pr Au
12 4
Cartesian
3.6331 3.7385 -1.6341 Pr
6.1559 1.7405 -0.0218 Pr
7.3733 4.9613 -1.5880 Pr
-1.1618 1.2502 1.6368 Pr
2.5784 2.4730 1.5908 Pr
4.4709 -0.0556 3.2467 Pr
1.7405 6.2671 0.0218 Pr
8.6845 3.6331 1.6341 Pr
4.9613 5.0497 1.5880 Pr
1.2502 1.1618 4.8129 Pr
0.0556 4.4709 3.2030 Pr
-2.4730 2.5784 4.8589 Pr
8.7879 0.0836 0.0241 Au
0.0836 3.6351 -0.0241 Au
6.1279 2.5764 3.2008 Au
-2.5764 6.1279 3.2490 Au
```

space group = No. 82
D(E_F) = 25.960 states/eV/cell
VASP energy = -4.750 eV per atom
ΔH_f (0 K) = -0.346 eV per atom